# SrTe2Se

A PBEsol-optimized structure of SrTe2Se (SCAN, Alexandria via LeMat-Bulk).

Lattice parameters (Å, degrees): 6.373 6.373 6.373 138.96 138.96 59.43
Element x y z (fractional)
Sr  0.000  0.000  0.000
Te  0.500  0.500  0.000
Te  0.750  0.250  0.500
Se  0.250  0.750  0.500

Properties
Raw total energy: -29.886 eV per atom
SG: I-4m2, No. 119
Energy relative to the elements, uncorrected: -0.672 eV/atom

=====

# AgHg3

A PBEsol-optimized structure of AgHg3 (SCAN, Alexandria via LeMat-Bulk).

Lattice parameters (Å, degrees): 6.711 6.711 6.711 154.87 50.69 136.74
Element x y z (fractional)
Ag  0.000  0.000  0.000
Hg  0.190  0.482  0.708
Hg  0.498  0.998  0.500
Hg  0.774  0.482  0.292

Properties
Raw total energy: -58.910 eV per atom
SG: Imm2, No. 44
Energy of formation: 0.0557 eV per atom

=====

# Ta2CoRu

A PBEsol-optimized structure of Ta2CoRu (SCAN, Alexandria via LeMat-Bulk).

Lattice parameters (Å, degrees): 4.117 5.052 5.052 34.69 90.00 90.00
Element x y z (fractional)
Ta  0.000  0.000  0.000
Ta  0.500  0.292  0.292
Co  0.000  0.744  0.744
Ru  0.500  0.561  0.561

Properties
Raw total energy: -46.549 eV per atom
SG: Amm2, No. 38
Energy of formation: -0.2242 eV per atom

=====

# GaTeP2

A PBEsol-optimized structure of GaTeP2 (SCAN, Alexandria via LeMat-Bulk).

Lattice parameters (Å, degrees): 7.709 7.709 7.709 139.50 139.50 58.61
Element x y z (fractional)
Ga  0.000  0.000  0.000
Ga  0.750  0.250  0.500
Te  0.250  0.750  0.500
Te  0.500  0.500  0.000
P  0.084  0.625  0.959
P  0.375  0.334  0.459
P  0.666  0.125  0.041
P  0.875  0.916  0.541

Properties
Raw total energy: -18.267 eV per atom
SG: I-42d, No. 122
Energy relative to the elements, uncorrected: 0.332 eV/atom

=====

# CaHgPb2

A PBEsol-optimized structure of CaHgPb2 (SCAN, Alexandria via LeMat-Bulk).

Lattice parameters (Å, degrees): 3.870 5.329 5.304 90.00 90.00 90.00
Element x y z (fractional)
Ca  0.000  0.000  0.000
Hg  0.500  0.500  0.077
Pb  0.000  0.500  0.574
Pb  0.500  0.000  0.493

Properties
Raw total energy: -57.726 eV per atom
SG: Pmm2, No. 25
Energy of formation: -0.3778 eV per atom

=====

# BeFe2P

A PBEsol-optimized structure of BeFe2P (SCAN, Alexandria via LeMat-Bulk).

Lattice parameters (Å, degrees): 2.545 3.335 4.688 90.00 100.58 90.00
Element x y z (fractional)
Be  0.000  0.000  0.000
Fe  0.360  0.500  0.741
Fe  0.640  0.500  0.259
P  0.000  0.000  0.500

Properties
Energy relative to the lowest polymorph listed for this composition: 0.330 eV per atom
Raw total energy: -12.795 eV per atom
SG: P2/m, No. 10
Energy of formation: -0.0421 eV per atom

=====

# Cr2H

A PBEsol-optimized structure of Cr2H (SCAN, Alexandria via LeMat-Bulk).

Lattice parameters (Å, degrees): 5.059 5.059 5.059 114.07 114.07 100.61
Element x y z (fractional)
Cr  0.215  0.224  0.509
Cr  0.215  0.706  0.991
Cr  0.224  0.215  0.009
Cr  0.294  0.785  0.509
Cr  0.706  0.215  0.491
Cr  0.776  0.785  0.991
Cr  0.785  0.294  0.009
Cr  0.785  0.776  0.491
H  0.000  0.500  0.500
H  0.500  0.000  0.000
H  0.500  0.500  0.000
H  0.500  0.500  0.500

Properties
Raw total energy: -13.314 eV per atom
SG: I4_1/amd, No. 141

=====

# Cd2MoOs

A PBEsol-optimized structure of Cd2MoOs (SCAN, Alexandria via LeMat-Bulk).

Lattice parameters (Å, degrees): 4.752 4.752 2.934 90.00 90.00 90.00
Element x y z (fractional)
Cd  0.000  0.500  0.000
Cd  0.500  0.000  0.000
Mo  0.000  0.000  0.500
Os  0.500  0.500  0.500

Properties
Energy relative to the lowest polymorph listed for this composition: 0.412 eV per atom
Raw total energy: -40.930 eV per atom
SG: P4/mmm, No. 123
Energy of formation: 0.9686 eV per atom

=====

# Sr4Ta2O9

A PBEsol-optimized structure of Sr4Ta2O9 (SCAN, Alexandria via LeMat-Bulk).

Lattice parameters (Å, degrees): 10.095 5.747 17.716 90.00 124.00 90.00
Element x y z (fractional)
Sr  0.000  0.000  0.000
Sr  0.000  0.500  0.500
Sr  0.048  0.018  0.396
Sr  0.048  0.482  0.896
Sr  0.276  0.001  0.267
Sr  0.276  0.499  0.767
Sr  0.388  0.014  0.078
Sr  0.388  0.486  0.578
Sr  0.500  0.000  0.500
Sr  0.500  0.500  0.000
Sr  0.612  0.514  0.422
Sr  0.612  0.986  0.922
Sr  0.724  0.501  0.233
Sr  0.724  0.999  0.733
Sr  0.952  0.518  0.104
Sr  0.952  0.982  0.604
Ta  0.171  0.507  0.334
Ta  0.171  0.993  0.834
Ta  0.336  0.510  0.168
Ta  0.336  0.990  0.668
Ta  0.664  0.010  0.332
Ta  0.664  0.490  0.832
Ta  0.829  0.007  0.166
Ta  0.829  0.493  0.666
O  0.035  0.711  0.751
O  0.035  0.789  0.251
O  0.115  0.600  0.417
O  0.115  0.900  0.917
O  0.178  0.170  0.563
O  0.178  0.330  0.063
O  0.203  0.715  0.628
O  0.203  0.785  0.128
O  0.234  0.068  0.740
O  0.234  0.432  0.240
O  0.265  0.224  0.400
O  0.265  0.276  0.900
O  0.365  0.682  0.396
O  0.365  0.818  0.896
O  0.440  0.601  0.109
O  0.440  0.899  0.609
O  0.482  0.223  0.224
O  0.482  0.277  0.724
O  0.518  0.723  0.276
O  0.518  0.777  0.776
O  0.560  0.101  0.391
O  0.560  0.399  0.891
O  0.635  0.182  0.104
O  0.635  0.318  0.604
O  0.735  0.724  0.100
O  0.735  0.776  0.600
O  0.766  0.568  0.760
O  0.766  0.932  0.260
O  0.797  0.215  0.872
O  0.797  0.285  0.372
O  0.822  0.670  0.937
O  0.822  0.830  0.437
O  0.885  0.100  0.083
O  0.885  0.400  0.583
O  0.965  0.211  0.749
O  0.965  0.289  0.249

Properties
Energy relative to the lowest polymorph listed for this composition: 0.000 eV per atom
Raw total energy: -21.825 eV per atom
SG: P2_1/c, No. 14
Energy relative to the elements, uncorrected: -3.268 eV/atom

=====

# Mn2W

A PBEsol-optimized structure of Mn2W (SCAN, Alexandria via LeMat-Bulk).

Lattice parameters (Å, degrees): 4.671 4.671 4.671 60.00 60.00 60.00
Element x y z (fractional)
Mn  0.000  0.000  0.000
Mn  0.000  0.000  0.500
Mn  0.000  0.500  0.000
Mn  0.500  0.000  0.000
W  0.375  0.375  0.375
W  0.625  0.625  0.625

Properties
Energy relative to the lowest polymorph listed for this composition: 0.015 eV per atom
Raw total energy: -35.350 eV per atom
SG: Fd-3m, No. 227
Energy of formation: 0.0497 eV per atom

=====

# La2NiTe

A PBEsol-optimized structure of La2NiTe (SCAN, Alexandria via LeMat-Bulk).

Lattice parameters (Å, degrees): 3.804 3.719 7.382 90.00 98.60 90.00
Element x y z (fractional)
La  0.083  0.000  0.276
La  0.917  0.000  0.724
Ni  0.500  0.500  0.500
Te  0.500  0.500  0.000

Properties
Raw total energy: -35.699 eV per atom
SG: P2/m, No. 10
Energy relative to the elements, uncorrected: -0.790 eV/atom

=====

# Tc4Rh5

A PBEsol-optimized structure of Tc4Rh5 (SCAN, Alexandria via LeMat-Bulk).

Lattice parameters (Å, degrees): 5.985 5.985 5.985 95.81 95.81 142.91
Element x y z (fractional)
Tc  0.000  0.337  0.337
Tc  0.000  0.663  0.663
Tc  0.337  0.000  0.337
Tc  0.663  0.000  0.663
Rh  0.000  0.000  0.000
Rh  0.332  0.332  0.664
Rh  0.332  0.668  0.000
Rh  0.668  0.332  0.000
Rh  0.668  0.668  0.336

Properties
Raw total energy: -34.442 eV per atom
SG: I4/mmm, No. 139
Energy of formation: -0.0978 eV per atom